VASP calculation (PBE-GGA) on crystalline Cs2AlFeP at its relaxed geometry.

Geometry as CIF:
```
data_Cs2AlFeP
_chemical_formula_sum 'Cs2 Al1 Fe1 P1'
_cell_length_a 6.804
_cell_length_b 6.804
_cell_length_c 4.744
_cell_angle_alpha 90.00
_cell_angle_beta 90.00
_cell_angle_gamma 90.00
_symmetry_space_group_name_H-M 'P 4/m m m'
_symmetry_Int_Tables_number 123
_symmetry_space_group_name_Hall '-P 4 2'
loop_
_atom_site_label
_atom_site_type_symbol
_atom_site_fract_x
_atom_site_fract_y
_atom_site_fract_z
_atom_site_occupancy
Cs1 Cs 0.000 0.500 0.000 1
Al1 Al 0.000 0.000 0.000 1
Fe1 Fe 0.000 0.000 0.500 1
P1 P 0.500 0.500 0.500 1
```

Calculated values
Density = 2.87 Mg/m³
Calculated total energy = -14.489 eV per cell
DOS(E_F) = 0.67 states/eV/atom
Total magnetic moment = 3.886 μB/f.u.